Record 1
The following is a PBE calculation of crystalline YOs2Cl at its relaxed geometry, from the Alexandria database.

It has space group I4/mmm (No. 139), with a = 3.650 Å, b = 3.650 Å, c = 11.346 Å, α = 90.00°, β = 90.00° and γ = 90.00°. The inequivalent atoms are Y at (0.000, 0.000, 0.000), Os at (0.000, 0.500, 0.250) and Cl at (0.000, 0.000, 0.500).

As for the density of states at the Fermi level: 5.42 states/eV per cell. The volume comes out at 151.1 Å³ per cell. The crystal system is tetragonal. The magnetization comes out at 0.0 μB per formula unit. Its formation energy from raw total energies is 0.13 eV/atom.


Record 2
The following is a PBE calculation of crystalline BaCa2CdAg4 at its relaxed geometry, from the Alexandria database.

It has space group R-3m (No. 166, hexagonal axes), with a = 5.1384 Å, b = 5.1384 Å, c = 29.6427 Å, α = 90.00°, β = 90.00° and γ = 120.00°. The inequivalent atoms are Ba at (0.0000, 0.0000, 0.0000), Ca at (0.0000, 0.0000, 0.2261), Cd at (0.0000, 0.0000, 0.5000), Ag at (0.0000, 0.0000, 0.1195) and Ag at (0.0000, 0.0000, 0.4038).

As for the density of states at the Fermi level: 9.53 states/eV per cell. For the formation energy, the calculation gives -0.2346 eV/atom. The volume comes out at 677.8 Å³ per cell. The crystal system is trigonal. The magnetization comes out at 0.0 μB per formula unit.


Record 3
The following is a PBE calculation of crystalline Cr2FePt at its relaxed geometry, from the Alexandria database.

It has space group Cmmm (No. 65), with a = 5.151 Å, b = 7.504 Å, c = 2.594 Å, α = 90.00°, β = 90.00° and γ = 90.00°. The inequivalent atoms are Cr at (0.250, 0.250, 0.000), Fe at (0.000, 0.000, 0.500) and Pt at (0.000, 0.500, 0.500).

As for the density of states at the Fermi level: 8.79 states/eV per cell. For the formation energy, the calculation gives 0.0103 eV/atom. The volume comes out at 100.3 Å³ per cell. The crystal system is orthorhombic. The magnetization comes out at 0.4 μB per formula unit.


Record 4
The following is a PBE calculation of crystalline CaTbSi2 at its relaxed geometry, from the Alexandria database.

It has space group Pmc2_1 (No. 26), with a = 3.846 Å, b = 5.775 Å, c = 8.140 Å, α = 90.00°, β = 90.00° and γ = 90.00°. The inequivalent atoms are Ca at (0.000, 0.137, 0.000), Tb at (0.500, 0.360, 0.359), Si at (0.000, 0.381, 0.642) and Si at (0.500, 0.136, 0.714).

As for the density of states at the Fermi level: 5.17 states/eV per cell. The volume comes out at 180.8 Å³ per cell. The crystal system is orthorhombic. The magnetization comes out at 0.0 μB per formula unit. Its formation energy from raw total energies is -0.65 eV/atom.


Record 5
The following is a PBE calculation of crystalline TmSClO4 at its relaxed geometry, from the Alexandria database.

It has space group C2/m (No. 12), with a = 9.626 Å, b = 6.857 Å, c = 6.349 Å, α = 90.00°, β = 104.00° and γ = 90.00°. The inequivalent atoms are Tm at (0.226, 0.000, 0.132), S at (0.137, 0.500, 0.267), Cl at (0.020, 0.000, 0.762), O at (0.018, 0.500, 0.764), O at (0.186, 0.329, 0.150) and O at (0.212, 0.500, 0.496).

As for the density of states at the Fermi level: 0.00 states/eV per cell. The volume comes out at 406.6 Å³ per cell. The crystal system is monoclinic. The magnetization comes out at 0.0 μB per formula unit. Its formation energy from raw total energies is -2.15 eV/atom.


Record 6
The following is a PBE calculation of crystalline Sc5Bi3S12 at its relaxed geometry, from the Alexandria database.

It has space group Ia-3d (No. 230), with a = 15.738 Å, b = 15.738 Å, c = 15.738 Å, α = 90.00°, β = 90.00° and γ = 90.00°. The inequivalent atoms are Sc at (0.000, 0.000, 0.000), Sc at (0.000, 0.250, 0.375), Bi at (0.000, 0.250, 0.125) and S at (0.026, 0.063, 0.650).

As for the density of states at the Fermi level: 0.00 states/eV per cell. The volume comes out at 3897.8 Å³ per cell. The crystal system is cubic. The magnetization comes out at 0.0 μB per formula unit. Its formation energy from raw total energies is -1.16 eV/atom.